Li4LaCd: PBEsol geometry, meta-GGA SCAN.

Output
As for the formation enthalpy at 0 K: -11.0 kJ per mole of atoms. The volume comes out at 20.41 A^3/atom. Its space-group type is F-43m.

```
6
Lattice="0.000 3.942 3.942 3.942 0.000 3.942 3.942 3.942 0.000" Properties=species:S:1:pos:R:3 pbc="T T T"
Li 0.964 0.964 0.964
Li 2.978 2.978 0.964
Li 2.978 0.964 2.978
Li 0.964 2.978 2.978
La 3.942 3.942 3.942
Cd 5.913 5.913 5.913
```



LaMgCd: PBEsol geometry, meta-GGA SCAN.

Output
As for the formation enthalpy at 0 K: -15.7 kJ per mole of atoms. The volume comes out at 26.10 A^3/atom. Its space-group type is Imm2.

```
6
Lattice="3.279 0.000 0.000 0.000 4.934 0.000 0.000 0.000 9.680" Properties=species:S:1:pos:R:3 pbc="T T T"
La 0.000 0.000 0.000
La 1.640 2.467 4.840
Mg 0.000 0.000 6.483
Mg 1.640 2.467 1.644
Cd 0.000 0.000 3.237
Cd 1.640 2.467 8.077
```



LaMgCd2: PBEsol geometry, meta-GGA SCAN.

Output
As for the formation enthalpy at 0 K: -20.3 kJ per mole of atoms. The volume comes out at 24.54 A^3/atom. Its space-group type is Pmm2.

```
4
Lattice="3.333 0.000 0.000 0.000 3.540 0.000 0.000 0.000 8.321" Properties=species:S:1:pos:R:3 pbc="T T T"
La 0.000 0.000 0.000
Mg 1.666 1.770 2.513
Cd 0.000 0.000 4.263
Cd 1.666 1.770 6.033
```



LaMgCd: PBEsol geometry, meta-GGA SCAN.

Output
As for the formation enthalpy at 0 K: -24.7 kJ per mole of atoms. The volume comes out at 25.70 A^3/atom. Its space-group type is I4mm.

```
6
Lattice="3.396 0.000 0.000 0.000 3.396 0.000 0.000 0.000 13.373" Properties=species:S:1:pos:R:3 pbc="T T T"
La 0.000 0.000 0.000
La 1.698 1.698 6.686
Mg 0.000 0.000 9.253
Mg 1.698 1.698 2.566
Cd 0.000 0.000 4.353
Cd 1.698 1.698 11.039
```



LaMgCd4: PBEsol geometry, meta-GGA SCAN.

Output
As for the formation enthalpy at 0 K: -24.5 kJ per mole of atoms. The volume comes out at 23.66 A^3/atom. Its space-group type is F-43m.

```
6
Lattice="0.000 4.140 4.140 4.140 0.000 4.140 4.140 4.140 0.000" Properties=species:S:1:pos:R:3 pbc="T T T"
La 0.000 0.000 0.000
Mg 2.070 2.070 2.070
Cd 5.177 3.103 3.103
Cd 3.103 5.177 3.103
Cd 3.103 3.103 5.177
Cd 5.177 5.177 5.177
```



LaMgCd2: PBEsol geometry, meta-GGA SCAN.

Output
As for the formation enthalpy at 0 K: -31.6 kJ per mole of atoms. The volume comes out at 23.98 A^3/atom. Its space-group type is F-43m.

```
16
Lattice="7.267 0.000 0.000 0.000 7.267 0.000 0.000 0.000 7.267" Properties=species:S:1:pos:R:3 pbc="T T T"
La 0.000 0.000 0.000
La 0.000 3.633 3.633
La 3.633 0.000 3.633
La 3.633 3.633 0.000
Mg 1.817 1.817 1.817
Mg 1.817 5.450 5.450
Mg 5.450 1.817 5.450
Mg 5.450 5.450 1.817
Cd 0.000 0.000 3.633
Cd 0.000 3.633 0.000
Cd 1.817 1.817 5.450
Cd 1.817 5.450 1.817
Cd 3.633 0.000 0.000
Cd 3.633 3.633 3.633
Cd 5.450 1.817 1.817
Cd 5.450 5.450 5.450
```



LaMgCd: PBEsol geometry, meta-GGA SCAN.

Output
As for the formation enthalpy at 0 K: -32.0 kJ per mole of atoms. The volume comes out at 26.08 A^3/atom. Its space-group type is P-6m2.

```
3
Lattice="5.149 0.000 0.000 -2.575 4.459 0.000 0.000 0.000 3.408" Properties=species:S:1:pos:R:3 pbc="T T T"
La 0.000 0.000 0.000
Mg 0.000 2.973 1.704
Cd 2.575 1.486 1.704
```



LaCdMo2: PBEsol geometry, meta-GGA SCAN.

Output
As for the formation enthalpy at 0 K: 67.9 kJ per mole of atoms. The volume comes out at 19.13 A^3/atom. Its space-group type is C2/m.

```
8
Lattice="6.007 0.000 0.000 0.000 9.627 0.000 -1.059 0.000 2.646" Properties=species:S:1:pos:R:3 pbc="T T T"
La 0.000 0.000 0.000
La 3.003 4.814 0.000
Cd 0.000 4.814 0.000
Cd 3.003 0.000 0.000
Mo 0.972 2.407 1.323
Mo 0.972 7.220 1.323
Mo 3.975 2.407 1.323
Mo 3.975 7.220 1.323
```



LaCdMo: PBEsol geometry, meta-GGA SCAN.

Output
As for the formation enthalpy at 0 K: 52.7 kJ per mole of atoms. The volume comes out at 21.89 A^3/atom. Its space-group type is P3m1.

```
3
Lattice="5.137 0.000 0.000 -2.568 4.449 0.000 0.000 0.000 2.874" Properties=species:S:1:pos:R:3 pbc="T T T"
La 0.000 0.000 0.000
Cd 0.000 2.966 1.418
Mo 2.568 1.483 1.462
```



LaCdMo3: PBEsol geometry, meta-GGA SCAN.

Output
As for the formation enthalpy at 0 K: 215.8 kJ per mole of atoms. The volume comes out at 21.20 A^3/atom. Its space-group type is Pm-3m.

```
5
Lattice="4.733 0.000 0.000 0.000 4.733 0.000 0.000 0.000 4.733" Properties=species:S:1:pos:R:3 pbc="T T T"
La 0.000 0.000 0.000
Cd 2.366 2.366 2.366
Mo 0.000 0.000 2.366
Mo 0.000 2.366 0.000
Mo 2.366 0.000 0.000
```



La2CdMo: PBEsol geometry, meta-GGA SCAN.

Output
As for the formation enthalpy at 0 K: 34.5 kJ per mole of atoms. The volume comes out at 24.22 A^3/atom. Its space-group type is P4mm.

```
4
Lattice="3.698 0.000 0.000 0.000 3.698 0.000 0.000 0.000 7.084" Properties=species:S:1:pos:R:3 pbc="T T T"
La 0.000 0.000 0.000
La 1.849 1.849 2.290
Cd 1.849 1.849 5.312
Mo 0.000 0.000 4.103
```



La2CdMo: PBEsol geometry, meta-GGA SCAN.

Output
As for the formation enthalpy at 0 K: 17.6 kJ per mole of atoms. The volume comes out at 25.58 A^3/atom. Its space-group type is P4/mmm.

```
4
Lattice="3.517 0.000 0.000 0.000 3.517 0.000 0.000 0.000 8.274" Properties=species:S:1:pos:R:3 pbc="T T T"
La 0.000 0.000 1.786
La 0.000 0.000 6.489
Cd 1.758 1.758 4.137
Mo 1.758 1.758 0.000
```



La3CdN: PBEsol geometry, meta-GGA SCAN.

Output
As for the uncorrected formation energy: -0.90 eV/atom. The volume comes out at 25.79 A^3/atom. For the offset from the most stable computed form, the calculation gives 0.0 meV per atom. Its space-group type is R-3c.

```
10
Lattice="3.570 2.061 5.841 -3.570 2.061 5.841 0.000 -4.122 5.841" Properties=species:S:1:pos:R:3 pbc="T T T"
La -1.915 0.805 7.302
La -1.655 -1.256 10.223
La 0.261 -2.061 7.302
La -0.261 2.061 10.223
La 1.655 1.256 7.302
La 1.915 -0.805 10.223
Cd 0.000 0.000 4.381
Cd 0.000 0.000 13.143
N 0.000 0.000 0.000
N 0.000 0.000 8.762
```



La3CdN: PBEsol geometry, meta-GGA SCAN.

Output
As for the uncorrected formation energy: -0.89 eV/atom. The volume comes out at 25.89 A^3/atom. For the offset from the most stable computed form, the calculation gives 9.5 meV per atom. Its space-group type is Pm-3m.

```
5
Lattice="5.059 0.000 0.000 0.000 5.059 0.000 0.000 0.000 5.059" Properties=species:S:1:pos:R:3 pbc="T T T"
La 0.000 0.000 2.529
La 0.000 2.529 0.000
La 2.529 0.000 0.000
Cd 2.529 2.529 2.529
N 0.000 0.000 0.000
```



LaCd2PtN: PBEsol geometry, meta-GGA SCAN.

Output
As for the uncorrected formation energy: 1.37 eV/atom. The volume comes out at 43.13 A^3/atom. Its space-group type is P4/mmm.

```
5
Lattice="6.469 0.000 0.000 0.000 6.469 0.000 0.000 0.000 5.152" Properties=species:S:1:pos:R:3 pbc="T T T"
La 0.000 0.000 0.000
Cd 0.000 3.235 0.000
Cd 3.235 0.000 0.000
Pt 0.000 0.000 2.576
N 3.235 3.235 2.576
```



NaLaCdSi2: PBEsol geometry, meta-GGA SCAN.

Output
As for the uncorrected formation energy: 0.85 eV/atom. The volume comes out at 25.23 A^3/atom. Its space-group type is P4/mmm.

```
5
Lattice="4.924 0.000 0.000 0.000 4.924 0.000 0.000 0.000 5.203" Properties=species:S:1:pos:R:3 pbc="T T T"
Na 0.000 0.000 0.000
La 0.000 0.000 2.601
Cd 2.462 2.462 2.601
Si 0.000 2.462 0.000
Si 2.462 0.000 0.000
```



La4CdNi: PBEsol geometry, meta-GGA SCAN.

Output
As for the formation enthalpy at 0 K: -28.3 kJ per mole of atoms. The volume comes out at 27.89 A^3/atom. Its space-group type is F-43m.

```
24
Lattice="0.000 6.943 6.943 6.943 0.000 6.943 6.943 6.943 0.000" Properties=species:S:1:pos:R:3 pbc="T T T"
La 6.943 6.943 2.624
La 6.943 2.624 6.943
La 11.261 6.943 6.943
La 5.597 5.597 5.597
La 8.288 8.288 5.597
La 8.288 5.597 8.288
La 10.414 10.414 7.723
La 10.414 7.723 10.414
La 13.105 10.414 10.414
La 5.597 8.288 8.288
La 2.624 6.943 6.943
La 6.943 11.261 6.943
La 6.943 6.943 11.261
La 7.723 10.414 10.414
La 10.414 13.105 10.414
La 10.414 10.414 13.105
Cd 2.386 2.386 2.386
Cd 4.556 4.556 2.386
Cd 4.556 2.386 4.556
Cd 2.386 4.556 4.556
Ni 8.445 5.440 5.440
Ni 5.440 8.445 5.440
Ni 5.440 5.440 8.445
Ni 8.445 8.445 8.445
```



La2CdNi2: PBEsol geometry, meta-GGA SCAN.

Output
As for the formation enthalpy at 0 K: -36.0 kJ per mole of atoms. The volume comes out at 21.96 A^3/atom. Its space-group type is Cmmm.

```
10
Lattice="3.965 0.000 0.000 0.000 14.482 0.000 0.000 0.000 3.824" Properties=species:S:1:pos:R:3 pbc="T T T"
La 0.000 2.000 0.000
La 0.000 12.482 0.000
La 1.982 5.241 0.000
La 1.982 9.241 0.000
Cd 0.000 7.241 1.912
Cd 1.982 0.000 1.912
Ni 0.000 4.353 1.912
Ni 0.000 10.129 1.912
Ni 1.982 2.888 1.912
Ni 1.982 11.594 1.912
```



La2CdNi: PBEsol geometry, meta-GGA SCAN.

Output
As for the formation enthalpy at 0 K: -29.6 kJ per mole of atoms. The volume comes out at 24.65 A^3/atom. Its space-group type is P4/mmm.

```
4
Lattice="3.575 0.000 0.000 0.000 3.575 0.000 0.000 0.000 7.712" Properties=species:S:1:pos:R:3 pbc="T T T"
La 0.000 0.000 1.618
La 0.000 0.000 6.093
Cd 1.788 1.788 3.856
Ni 1.788 1.788 0.000
```



LaCdNi2: PBEsol geometry, meta-GGA SCAN.

Output
As for the formation enthalpy at 0 K: 23.6 kJ per mole of atoms. The volume comes out at 18.69 A^3/atom. Its space-group type is F-43m.

```
16
Lattice="6.687 0.000 0.000 0.000 6.687 0.000 0.000 0.000 6.687" Properties=species:S:1:pos:R:3 pbc="T T T"
La 0.000 0.000 0.000
La 0.000 3.343 3.343
La 3.343 0.000 3.343
La 3.343 3.343 0.000
Cd 1.672 1.672 5.015
Cd 1.672 5.015 1.672
Cd 5.015 1.672 1.672
Cd 5.015 5.015 5.015
Ni 0.000 0.000 3.343
Ni 0.000 3.343 0.000
Ni 1.672 1.672 1.672
Ni 1.672 5.015 5.015
Ni 3.343 0.000 0.000
Ni 3.343 3.343 3.343
Ni 5.015 1.672 5.015
Ni 5.015 5.015 1.672
```



| no. | uncorrected energy (eV per atom) |
| --- | --- |
| 1 | -13.960 |
| 2 | -26.327 |
| 3 | -27.438 |
| 4 | -26.420 |
| 5 | -28.543 |
| 6 | -27.554 |
| 7 | -26.496 |
| 8 | -35.118 |
| 9 | -35.589 |
| 10 | -33.398 |
| 11 | -37.520 |
| 12 | -37.696 |
| 13 | -34.702 |
| 14 | -34.693 |
| 15 | -35.315 |
| 16 | -18.700 |
| 17 | -36.795 |
| 18 | -30.167 |
| 19 | -33.506 |
| 20 | -26.222 |